(1)
PaTa2Tc | GGA-PBE | optimized geometry

For the magnetic moment, the calculation gives 0.00 μB per formula unit. For the relative energy among the computed polymorphs, the calculation gives 0 meV per atom. For the energy relative to the elements, the calculation gives -0.23 eV per formula unit.

The structure belongs to space group P4/mmm (No. 123); the cell edges are 3.159, 3.159 and 7.784 Å and the angles 90.00°, 90.00° and 90.00°. The distinct sites, in fractional coordinates, are Pa at (0.000, 0.000, 0.000), Ta at (0.500, 0.500, 0.296) and Tc at (0.000, 0.000, 0.500).

---

(2)
Th3Bi2C2 | GGA-PBE | optimized geometry

For the magnetic moment, the calculation gives 0.00 μB per formula unit. For the energy relative to the elements, the calculation gives -2.25 eV per formula unit.

The structure belongs to space group P2_1/c (No. 14); the cell edges are 6.992, 7.164 and 8.335 Å and the angles 90.00°, 114.07° and 90.00°. The distinct sites, in fractional coordinates, are Th at (0.000, 0.000, 0.000), Th at (0.406, 0.175, 0.819), Bi at (0.158, 0.574, 0.926) and C at (0.356, 0.087, 0.086).

---

(3)
La4PmOs | GGA-PBE | optimized geometry

For the magnetic moment, the calculation gives 0.00 μB per formula unit. For the energy relative to the elements, the calculation gives -0.16 eV per formula unit.

The structure belongs to space group Immm (No. 71); the cell edges are 6.169, 7.770 and 16.697 Å and the angles 90.00°, 90.00° and 90.00°. The distinct sites, in fractional coordinates, are La at (0.000, 0.000, 0.169), La at (0.000, 0.259, 0.388), La at (0.000, 0.298, 0.000), Pm at (0.000, 0.500, 0.199) and Os at (0.245, 0.500, 0.500).

---

(4)
KGe5Br11 | GGA-PBE | optimized geometry

For the magnetic moment, the calculation gives 0.00 μB per formula unit. The value obtained for the energy relative to the elements, uncorrected is -0.65 eV per atom.

The structure belongs to space group C2/m (No. 12); the cell edges are 9.440, 14.804 and 8.963 Å and the angles 90.00°, 108.38° and 90.00°. The distinct sites, in fractional coordinates, are K at (0.000, 0.000, 0.000), Ge at (0.000, 0.500, 0.000), Ge at (0.219, 0.148, 0.656), Br at (0.000, 0.000, 0.500), Br at (0.081, 0.223, 0.318), Br at (0.084, 0.500, 0.335) and Br at (0.224, 0.370, 0.036).

---

(5)
LaSn2Au2 | GGA-PBE | optimized geometry

For the magnetic moment, the calculation gives 0.00 μB per formula unit. For the energy relative to the elements, the calculation gives -2.92 eV per formula unit.

The structure belongs to space group I4/mmm (No. 139); the cell edges are 4.486, 4.486 and 12.493 Å and the angles 90.00°, 90.00° and 90.00°. The distinct sites, in fractional coordinates, are La at (0.000, 0.000, 0.000), Sn at (0.000, 0.500, 0.250) and Au at (0.000, 0.000, 0.393).

---

(6)
SrEu2Ir | GGA-PBE | optimized geometry

For the magnetic moment, the calculation gives 14.12 μB per formula unit. For the relative energy among the computed polymorphs, the calculation gives 90 meV per atom. For the energy relative to the elements, the calculation gives -0.27 eV per formula unit.

The structure belongs to space group R-3m (No. 166, hexagonal axes); the cell edges are 4.1384, 4.1384 and 32.8315 Å and the angles 90.00°, 90.00° and 120.00°. The distinct sites, in fractional coordinates, are Sr at (0.0000, 0.0000, 0.0000), Eu at (0.0000, 0.0000, 0.1191) and Ir at (0.0000, 0.0000, 0.5000).

---

(7)
InMo2As | GGA-PBE | optimized geometry

For the magnetic moment, the calculation gives 0.00 μB per formula unit. For the relative energy among the computed polymorphs, the calculation gives 264 meV per atom. For the energy relative to the elements, the calculation gives 1.19 eV per formula unit.

The structure belongs to space group Cm (No. 8); the cell edges are 9.555, 3.196 and 4.720 Å and the angles 90.00°, 107.33° and 90.00°. The distinct sites, in fractional coordinates, are In at (0.000, 0.000, 0.000), Mo at (0.246, 0.000, 0.816), Mo at (0.499, 0.000, 0.495) and As at (0.266, 0.500, 0.366).

---

(8)
Zn6SbAu12 | GGA-PBE | optimized geometry

For the magnetic moment, the calculation gives 0.00 μB per formula unit. The value obtained for the energy relative to the elements, uncorrected is -0.06 eV per atom. For the relative energy among the computed polymorphs, the calculation gives 59 meV per atom.

The structure belongs to space group R-3m (No. 166, hexagonal axes); the cell edges are 12.1988, 12.1988 and 8.3602 Å and the angles 90.00°, 90.00° and 120.00°. The distinct sites, in fractional coordinates, are Zn at (0.0693, 0.5347, 0.2392), Sb at (0.0000, 0.0000, 0.0000), Au at (0.0000, 0.3806, 0.5000) and Au at (0.0825, 0.1649, 0.2773).